A plane-wave DFT calculation with PBE was carried out for a relaxed structure of BaMn2Pb.

Unit cell a=6.453 b=6.453 c=6.453 alpha=149.37 beta=129.37 gamma=60.34
Positions (direct):
Ba  0.000  0.000  0.000
Mn  0.502  0.502  0.000
Mn  0.702  0.202  0.500
Pb  0.284  0.784  0.500

Calculated values
space group: Imm2, No. 44
energy of formation: 53.03 kJ/mol of atoms
density of states at the Fermi level: 5.0 states/eV per cell